Computed, not measured: crystalline SmErPb2 at its relaxed geometry at the PBE level of DFT.

- Total magnetic moment: 0.00 μB per formula unit
- Fermi-level density of states: 10.531 states/eV/cell

POSCAR file:
```
SmErPb2
1.0
9.307 0.632 0.000
-2.861 5.181 0.000
-3.223 -2.906 9.557
Pb Er Sm
8 4 4
direct
0.188 0.926 0.375
0.445 0.210 0.875
0.812 0.074 0.625
0.071 0.335 0.125
0.929 0.665 0.875
0.555 0.790 0.125
0.313 0.552 0.625
0.687 0.448 0.375
0.815 0.565 0.129
0.559 0.309 0.618
0.441 0.691 0.382
0.185 0.435 0.871
0.934 0.184 0.369
0.066 0.816 0.631
0.690 0.940 0.880
0.310 0.060 0.120
```



Computed, not measured: crystalline SmEr2Pb at its relaxed geometry at the PBE level of DFT.

- Relative energy among the computed polymorphs: 0.066 eV/atom
- Total magnetic moment: 0.04 μB per formula unit
- Fermi-level density of states: 11.051 states/eV/cell

POSCAR file:
```
SmEr2Pb
1.0
4.296 0.000 0.000
-2.148 6.295 0.000
0.000 0.000 9.330
Er Sm Pb
4 2 2
direct
0.632 0.265 0.053
0.368 0.735 0.947
0.632 0.265 0.447
0.368 0.735 0.553
0.944 0.888 0.250
0.056 0.112 0.750
0.245 0.491 0.250
0.755 0.509 0.750
```



Computed, not measured: crystalline SmErPb at its relaxed geometry at the PBE level of DFT.

- Relative energy among the computed polymorphs: 0.233 eV/atom
- Total magnetic moment: 0.00 μB per formula unit
- Fermi-level density of states: 2.662 states/eV/cell

POSCAR file:
```
SmErPb
1.0
3.936 0.000 0.000
0.000 5.221 0.000
0.000 -2.610 4.521
Er Sm Pb
1 1 1
direct
0.225 0.667 0.333
0.693 0.333 0.667
0.082 0.000 0.000
```



Computed, not measured: crystalline Sm8Er2Pb at its relaxed geometry at the PBE level of DFT.

- Total magnetic moment: 0.00 μB per formula unit
- Fermi-level density of states: 16.218 states/eV/cell

POSCAR file:
```
Sm8Er2Pb
1.0
5.404 0.000 0.000
0.000 8.330 -0.025
-2.702 -3.575 8.014
Sm Er Pb
8 2 1
direct
0.672 0.911 0.344
0.980 0.265 0.960
0.393 0.563 0.785
0.837 0.790 0.674
0.607 0.437 0.215
0.163 0.210 0.326
0.328 0.089 0.656
0.020 0.735 0.040
0.198 0.649 0.396
0.802 0.351 0.604
0.500 0.000 0.000
```



Computed, not measured: crystalline SmErPb2 at its relaxed geometry at the PBE level of DFT.

- Total magnetic moment: 0.00 μB per formula unit
- Fermi-level density of states: 2.507 states/eV/cell

POSCAR file:
```
SmErPb2
1.0
-2.788 3.536 -0.550
-2.387 -1.331 3.539
4.798 1.472 3.789
Sm Pb Er
1 2 1
direct
0.711 0.000 0.964
0.984 0.000 0.504
0.182 0.500 0.905
0.454 0.500 0.445
```



Computed, not measured: crystalline Sm2ErPb at its relaxed geometry at the PBE level of DFT.

- Relative energy among the computed polymorphs: 0.000 eV/atom
- Total magnetic moment: 0.00 μB per formula unit
- Fermi-level density of states: 4.793 states/eV/cell

POSCAR file:
```
Sm2ErPb
1.0
4.957 0.000 0.000
0.000 4.874 0.000
0.000 0.000 4.874
Sm Pb Er
2 1 1
direct
0.000 0.000 0.500
0.000 0.500 0.000
0.500 0.500 0.500
0.500 0.000 0.000
```



no.,DFT formation energy (eV/atom),uncorrected energy (eV/atom)
1,-0.45,-4.623
2,-0.24,-4.624
3,-0.21,-4.542
4,-0.02,-4.620
5,-0.48,-4.658
6,-0.30,-4.725